EuYHo2: relaxed, PBE.

Unit cell a=5.7369 b=5.7369 c=5.7369 alpha=60.00 beta=60.00 gamma=60.00
Atoms (fractional coordinates):
Eu1 0.0000 0.0000 0.0000
Ho1 0.2500 0.2500 0.2500
Y1 0.5000 0.5000 0.5000
Ho2 0.7500 0.7500 0.7500

Computed properties:
Its symmetry is Fm-3m (225). As for the formation energy: 0.165 eV per atom. The calculation puts the total moment at 2.0522 μB/atom.

EuYHo: relaxed, PBE.

Unit cell a=3.6391 b=3.6391 c=8.9089 alpha=90.00 beta=90.00 gamma=120.00
Atoms (fractional coordinates):
Ho1 0.6667 0.3333 0.3442
Y1 0.3333 0.6667 0.6545
Eu1 0.0000 0.0000 0.0013

Computed properties:
Its symmetry is P3m1 (156). As for the formation energy: 0.058 eV per atom. The calculation puts the total moment at 2.4279 μB/atom.

EuYHo2: relaxed, PBE.

Unit cell a=3.5958 b=3.5958 c=10.3155 alpha=90.00 beta=90.00 gamma=90.00
Atoms (fractional coordinates):
Ho1 0.0000 0.0000 0.2360
Eu1 0.5000 0.5000 0.5000
Ho2 0.0000 0.0000 0.7640
Y1 0.5000 0.5000 0.0000

Computed properties:
Its symmetry is P4/mmm (123). As for the formation energy: 0.065 eV per atom. The calculation puts the total moment at 1.8622 μB/atom.

EuYHo: relaxed, PBE.

Unit cell a=3.6476 b=3.6476 c=8.1437 alpha=102.94 beta=102.94 gamma=90.00
Atoms (fractional coordinates):
Y1 0.3247 0.3247 0.6494
Ho1 0.6743 0.6743 0.3486
Eu1 0.0010 0.0010 0.0020

Computed properties:
Its symmetry is I4mm (107). As for the formation energy: 0.062 eV per atom. The calculation puts the total moment at 2.3682 μB/atom.

EuYHo2: relaxed, PBE.

Unit cell a=3.8127 b=5.9046 c=5.9046 alpha=90.00 beta=90.00 gamma=90.00
Atoms (fractional coordinates):
Eu1 0.5000 0.5000 0.5000
Ho1 0.0000 0.5000 0.0000
Y1 0.5000 0.0000 0.0000
Ho2 0.0000 0.0000 0.5000

Computed properties:
Its symmetry is P4/mmm (123). As for the formation energy: 0.157 eV per atom. The calculation puts the total moment at 1.9846 μB/atom.

EuHoZn4: relaxed, PBE.

Unit cell a=5.5323 b=5.5323 c=5.5323 alpha=60.00 beta=60.00 gamma=60.00
Atoms (fractional coordinates):
Zn1 0.1230 0.6257 0.6257
Ho1 0.0000 0.0000 0.0000
Zn2 0.6257 0.6257 0.1230
Zn3 0.6257 0.6257 0.6257
Zn4 0.6257 0.1230 0.6257
Eu1 0.2500 0.2500 0.2500

Computed properties:
Its symmetry is F-43m (216). As for the formation energy: -0.273 eV per atom. The calculation puts the total moment at 1.1500 μB/atom.

EuHoZn2: relaxed, PBE.

Unit cell a=3.6478 b=3.6478 c=7.3096 alpha=90.00 beta=90.00 gamma=90.00
Atoms (fractional coordinates):
Zn1 0.0000 0.0000 0.2217
Eu1 0.5000 0.5000 0.5000
Ho1 0.5000 0.5000 0.0000
Zn2 0.0000 0.0000 0.7783

Computed properties:
Its symmetry is P4/mmm (123). As for the formation energy: -0.300 eV per atom. The calculation puts the total moment at 1.7930 μB/atom.

EuHoZn: relaxed, PBE.

Unit cell a=3.6629 b=3.6629 c=6.8467 alpha=105.52 beta=105.52 gamma=90.00
Atoms (fractional coordinates):
Ho1 0.2993 0.2993 0.5987
Zn1 0.6788 0.6788 0.3575
Eu1 0.0219 0.0219 0.0438

Computed properties:
Its symmetry is I4mm (107). As for the formation energy: -0.172 eV per atom. The calculation puts the total moment at 2.4673 μB/atom.

EuHo2Zn: relaxed, PBE.

Unit cell a=3.5469 b=3.5469 c=11.4588 alpha=81.10 beta=81.10 gamma=60.00
Atoms (fractional coordinates):
Ho1 0.8972 0.8972 0.3083
Eu1 0.0000 0.0000 0.0000
Zn1 0.5000 0.5000 0.5000
Ho2 0.1028 0.1028 0.6917

Computed properties:
Its symmetry is R-3m (166). As for the formation energy: 0.110 eV per atom. The calculation puts the total moment at 1.9276 μB/atom.

EuHo2Zn: relaxed, PBE.

Unit cell a=3.5983 b=3.5983 c=8.9414 alpha=90.00 beta=90.00 gamma=90.00
Atoms (fractional coordinates):
Ho1 0.0000 0.0000 0.8101
Eu1 0.5000 0.5000 0.5000
Zn1 0.5000 0.5000 0.0000
Ho2 0.0000 0.0000 0.1899

Computed properties:
Its symmetry is P4/mmm (123). As for the formation energy: -0.116 eV per atom. The calculation puts the total moment at 1.8766 μB/atom.

EuHoZn: relaxed, PBE.

Unit cell a=3.8508 b=5.0924 c=5.0924 alpha=120.00 beta=90.00 gamma=90.00
Atoms (fractional coordinates):
Eu1 0.9806 0.0000 0.0000
Zn1 0.5595 0.6667 0.3333
Ho1 0.4599 0.3333 0.6667

Computed properties:
Its symmetry is P3m1 (156). As for the formation energy: 0.005 eV per atom. The calculation puts the total moment at 2.4299 μB/atom.

Eu3I: relaxed, PBE.

Unit cell a=3.9732 b=3.9338 c=10.8837 alpha=90.00 beta=90.00 gamma=90.00
Atoms (fractional coordinates):
Eu1 0.5000 0.5000 0.5561
I1 0.0000 0.5000 0.8160
Eu2 0.5000 0.0000 0.9939
Eu3 0.0000 0.0000 0.3007

Computed properties:
Its symmetry is Pmm2 (25). The calculation puts the total moment at 5.7925 μB/atom. The calculation puts the energy relative to the elements, uncorrected at -427 meV/atom.